The following is a DFT calculation (PBE-GGA) of a relaxed structure of LaSmErHg.

The energy relative to the elements comes out at -21.79 kJ/mol of atoms. The calculated total energy is -15.41 eV/cell. Its crystal system is tetragonal.

It has space group P4mm (No. 99), with a = 3.679 Å, b = 3.679 Å, c = 8.990 Å, α = 90.00°, β = 90.00° and γ = 90.00°. The distinct sites, in fractional coordinates, are La at (0.000, 0.000, 0.000), Sm at (0.500, 0.500, 0.710), Er at (0.500, 0.500, 0.281) and Hg at (0.000, 0.000, 0.481).